Ti3GaRe | the Alexandria database | PBE | optimized geometry; E above lowest polymorph = 422.3 meV per atom; mass density = 7.0 g/cm³; density of states at the Fermi level = 0.84 states/eV/atom; energy = -34.05 eV for the cell shown; formation enthalpy at 0 K = 1023 meV per atom
1.0
4.565 0.000 0.000
0.000 4.565 0.000
0.000 0.000 4.565
Ti Re Ga
3 1 1
Cartesian
0.000 2.282 0.000 Ti
2.282 0.000 0.000 Ti
0.000 0.000 2.282 Ti
2.282 2.282 2.282 Re
0.000 0.000 0.000 Ga

***

NaTlGe | the Alexandria database | PBE | optimized geometry; mass density = 6.0 g/cm³; density of states at the Fermi level = 0.37 states/eV/atom; energy = -16.99 eV for the cell shown; formation enthalpy at 0 K = -64 meV per atom
1.0
-3.799 12.235 -5.194
-5.265 4.922 -1.949
3.311 -4.117 5.275
Tl Na Ge
2 2 2
Cartesian
-1.374 6.624 -0.077 Tl
-4.378 6.416 -1.791 Tl
1.044 -0.349 3.031 Na
-6.796 13.389 -4.899 Na
-4.463 9.377 -2.558 Ge
-1.289 3.663 0.690 Ge

***

LiTaCo2 | the Alexandria database | PBE | optimized geometry; mass density = 8.8 g/cm³; density of states at the Fermi level = 0.97 states/eV/atom; energy = -26.96 eV for the cell shown; formation enthalpy at 0 K = 254 meV per atom
1.0
-0.520 -7.892 -0.432
1.906 -7.420 -2.015
2.073 -7.591 0.911
Co Li Ta
2 1 1
Cartesian
1.713 -11.346 -0.761 Co
0.016 -0.106 -0.007 Co
0.865 -5.726 -0.384 Li
2.594 -17.177 -1.152 Ta

***

BeRe2GeB | the Alexandria database | PBE | optimized geometry; mass density = 9.8 g/cm³; density of states at the Fermi level = 0.82 states/eV/atom; energy = -29.05 eV for the cell shown; formation enthalpy at 0 K = 2174 meV per atom
1.0
4.580 0.000 0.000
0.000 3.753 0.000
0.000 0.000 4.580
B Re Ge Be
1 2 1 1
Cartesian
2.290 1.876 2.290 B
2.290 0.000 0.000 Re
0.000 0.000 2.290 Re
0.000 0.000 0.000 Ge
0.000 1.876 0.000 Be

***

Cr2Ir | the Alexandria database | PBE | optimized geometry; mass density = 12.7 g/cm³; density of states at the Fermi level = 1.39 states/eV/atom; energy = -27.80 eV for the cell shown; formation enthalpy at 0 K = 103 meV per atom
1.0
-1.762 -0.106 -1.954
2.492 -0.732 -0.432
-1.489 -6.056 1.672
Cr Ir
2 1
Cartesian
0.077 -4.578 0.179 Cr
-1.485 -6.040 1.667 Cr
-0.840 -2.334 -0.890 Ir

***

W2AuSe | the Alexandria database | PBE | optimized geometry; mass density = 15.9 g/cm³; density of states at the Fermi level = 0.95 states/eV/atom; energy = -29.98 eV for the cell shown
1.0
5.436 -0.001 -0.002
2.568 4.791 0.002
-3.460 -3.301 2.585
W Se Au
2 1 1
Cartesian
3.766 2.254 0.000 W
0.236 0.141 0.000 W
1.555 1.943 1.294 Se
2.989 -0.454 1.292 Au